(1)
VASP calculation (PBE-GGA) on Fe2AgMo after structural relaxation.

```
Fe2AgMo
1.0
4.723 -1.385 0.000
4.723 1.385 0.000
-1.488 0.000 4.304
Fe Ag Mo
2 1 1
Direct
0.000 0.000 0.000
0.707 0.707 0.272
0.241 0.241 0.796
0.460 0.460 0.465
```

Computed properties:
Energy above the lowest structure with this stoichiometry (kJ/mol of atoms): 11.8
Calculated volume (Å³ per atom): 14.08
E_form (eV/atom): 0.4022


(2)
VASP calculation (PBE-GGA) on AlSi4Ni2 after structural relaxation.

```
AlSi4Ni2
1.0
3.538 0.000 0.000
-1.769 3.064 0.000
0.000 0.000 11.068
Al Si Ni
1 4 2
Direct
0.000 0.000 0.000
0.333 0.667 0.434
0.333 0.667 0.853
0.667 0.333 0.147
0.667 0.333 0.566
0.333 0.667 0.649
0.667 0.333 0.351
```

Computed properties:
Raw formation energy (meV per atom): 191
Energy above the lowest structure with this stoichiometry (kJ/mol of atoms): 37.4
Calculated volume (Å³ per atom): 17.14


(3)
VASP calculation (PBE-GGA) on Tb4Pm4Er3 after structural relaxation.

```
Tb4Pm4Er3
1.0
-1.805 4.699 10.826
1.805 -4.699 10.826
1.805 4.699 -10.826
Tb Pm Er
4 4 3
Direct
0.183 0.000 0.183
0.240 0.240 0.000
0.760 0.760 0.000
0.817 0.000 0.817
0.178 0.856 0.322
0.466 0.144 0.322
0.534 0.856 0.678
0.822 0.144 0.678
0.107 0.607 0.500
0.500 0.500 0.000
0.893 0.393 0.500
```

Computed properties:
Energy above the lowest structure with this stoichiometry (kJ/mol of atoms): 6.0
Calculated volume (Å³ per atom): 33.39
E_form (eV/atom): 0.1220


(4)
VASP calculation (PBE-GGA) on In3OF after structural relaxation.

```
In3OF
1.0
4.950 0.000 0.000
0.000 4.950 0.000
0.000 0.000 4.950
In O F
3 1 1
Direct
0.000 0.000 0.500
0.000 0.500 0.000
0.500 0.000 0.000
0.000 0.000 0.000
0.500 0.500 0.500
```

Computed properties:
Raw formation energy (meV per atom): -532
Energy above the lowest structure with this stoichiometry (kJ/mol of atoms): 0.0
Calculated volume (Å³ per atom): 24.26


(5)
VASP calculation (PBE-GGA) on YAl2As after structural relaxation.

```
YAl2As
1.0
4.157 0.000 0.000
0.000 4.157 0.000
0.000 0.000 4.626
Y Al As
1 2 1
Direct
0.000 0.000 0.000
0.000 0.500 0.500
0.500 0.000 0.500
0.500 0.500 0.000
```

Computed properties:
Calculated volume (Å³ per atom): 19.99
E_form (eV/atom): -0.4646


(6)
VASP calculation (PBE-GGA) on Li2AgSb after structural relaxation.

```
Li2AgSb
1.0
-3.816 3.816 2.812
3.816 -3.816 2.812
3.816 3.816 -2.812
Li Ag Sb
4 2 2
Direct
0.114 0.625 0.989
0.375 0.364 0.489
0.636 0.125 0.011
0.875 0.886 0.511
0.000 0.000 0.000
0.750 0.250 0.500
0.250 0.750 0.500
0.500 0.500 0.000
```

Computed properties:
Raw formation energy (meV per atom): -160
Calculated volume (Å³ per atom): 20.47


(7)
VASP calculation (PBE-GGA) on LiSi2As2 after structural relaxation.

```
LiSi2As2
1.0
-2.412 2.412 3.972
2.412 -2.412 3.972
2.412 2.412 -3.972
Li Si As
1 2 2
Direct
0.000 0.000 0.000
0.349 0.349 0.000
0.651 0.651 0.000
0.250 0.750 0.500
0.750 0.250 0.500
```

Computed properties:
Raw formation energy (meV per atom): -44
Energy above the lowest structure with this stoichiometry (kJ/mol of atoms): 0.0
Calculated volume (Å³ per atom): 18.48


(8)
VASP calculation (PBE-GGA) on CdBi4Pb15 after structural relaxation.

```
CdBi4Pb15
1.0
6.002 0.000 0.000
0.000 6.002 0.000
0.000 0.000 17.497
Cd Bi Pb
1 4 15
Direct
0.000 0.000 0.000
0.000 0.000 0.189
0.000 0.000 0.398
0.000 0.000 0.602
0.000 0.000 0.811
0.000 0.500 0.099
0.000 0.500 0.299
0.000 0.500 0.500
0.000 0.500 0.701
0.000 0.500 0.901
0.500 0.000 0.099
0.500 0.000 0.299
0.500 0.000 0.500
0.500 0.000 0.701
0.500 0.000 0.901
0.500 0.500 0.000
0.500 0.500 0.199
0.500 0.500 0.400
0.500 0.500 0.600
0.500 0.500 0.801
```

Computed properties:
Calculated volume (Å³ per atom): 31.51
E_form (eV/atom): 0.0332


Q: Which value of calculated volume does entry 7 give?
A: 18.48 Å³ per atom


Q: Among the records above, which one has the highest calculated volume?
A: Tb4Pm4Er3


Q: Among the records above, which one has the highest calculated volume?
A: Tb4Pm4Er3